1.
Material: Pm6AgIr3
Method: DFT, GGA-PBE
State: relaxed

a = 4.2376 Å, b = 11.8481 Å, c = 11.9856 Å
α = 108.39°, β = 90.00°, γ = 90.00°
Fractional coordinates of all 20 atoms:
Ir 0.7500 0.4691 0.8277
Ir 0.2500 0.3013 0.4848
Ir 0.7500 0.1600 0.0647
Ir 0.2500 0.5309 0.1723
Ir 0.2500 0.8400 0.9353
Ir 0.7500 0.6987 0.5152
Pm 0.7500 0.9360 0.0986
Pm 0.7500 0.7563 0.7769
Pm 0.7500 0.7018 0.2683
Pm 0.7500 0.1293 0.4494
Pm 0.2500 0.6112 0.9644
Pm 0.2500 0.2982 0.7317
Pm 0.7500 0.4566 0.5913
Pm 0.2500 0.0640 0.9014
Pm 0.2500 0.2437 0.2231
Pm 0.7500 0.3888 0.0356
Pm 0.2500 0.5434 0.4087
Pm 0.2500 0.8707 0.5506
Ag 0.2500 0.9264 0.3009
Ag 0.7500 0.0736 0.6991

ΔE_f, eV per atom: -0.53
Polymorph energy (0 for the lowest one), eV/atom: 0.000

2.
Material: PmSc2Sb2
Method: DFT, GGA-PBE
State: relaxed

a = 4.3821 Å, b = 4.3821 Å, c = 7.5685 Å
α = 106.87°, β = 106.87°, γ = 90.01°
Site moments in Bohr magnetons follow the coordinates.
Fractional coordinates of all 5 atoms:
Sc 0.2497 0.7503 0.5000  0.35
Sc 0.7503 0.2497 0.5000  0.35
Pm 0.0000 0.0000 0.0000  0.01
Sb 0.3900 0.3900 0.7786  -0.02
Sb 0.6100 0.6100 0.2214  -0.02

ΔE_f (raw), meV/atom: -748

3.
Material: K2PaRh3O12
Method: DFT, GGA-PBE
State: relaxed

a = 7.6211 Å, b = 7.6211 Å, c = 7.6211 Å
α = 56.62°, β = 56.62°, γ = 56.62°
Site moments in Bohr magnetons follow the coordinates.
Fractional coordinates of all 18 atoms:
Rh 0.5000 0.0000 0.0000  0.24
Rh 0.0000 0.5000 0.0000  0.24
Rh 0.0000 0.0000 0.5000  0.24
O 0.0717 0.6596 0.0717  0.07
O 0.9283 0.3404 0.9283  0.07
O 0.6845 0.6845 0.0833  0.04
O 0.9283 0.9283 0.3404  0.07
O 0.6596 0.0717 0.0717  0.07
O 0.9167 0.3155 0.3155  0.04
O 0.0717 0.0717 0.6596  0.07
O 0.3155 0.3155 0.9167  0.04
O 0.3404 0.9283 0.9283  0.07
O 0.6845 0.0833 0.6845  0.04
O 0.3155 0.9167 0.3155  0.04
O 0.0833 0.6845 0.6845  0.04
Pa 0.0000 0.0000 0.0000  -0.01
K 0.3947 0.3947 0.3947  0.00
K 0.6053 0.6053 0.6053  0.00

ΔE_f (raw), meV/atom: -1237

4.
Material: CsCdIn2Rh
Method: DFT, GGA-PBE
State: relaxed

a = 5.2501 Å, b = 5.2501 Å, c = 5.4749 Å
α = 90.00°, β = 90.00°, γ = 90.00°
Fractional coordinates of all 5 atoms:
Rh 0.0000 0.0000 0.0000
In 0.5000 0.0000 0.0000
In 0.0000 0.5000 0.0000
Cd 0.0000 0.0000 0.5000
Cs 0.5000 0.5000 0.5000

ΔE_f, eV per atom: -0.21

5.
Material: MnAl2Br
Method: DFT, GGA-PBE
State: relaxed

a = 5.1536 Å, b = 5.1536 Å, c = 5.1536 Å
α = 129.93°, β = 129.93°, γ = 73.52°
Site moments in Bohr magnetons follow the coordinates.
Fractional coordinates of all 4 atoms:
Mn 0.7500 0.2500 0.5000  3.89
Al 0.2500 0.7500 0.5000  0.00
Al 0.0000 0.0000 0.0000  -0.03
Br 0.5000 0.5000 0.0000  0.07

Polymorph energy (0 for the lowest one), eV/atom: 0.427
ΔE_f (raw), meV/atom: 471

6.
Material: PaSnSe2N
Method: DFT, GGA-PBE
State: relaxed

a = 3.9885 Å, b = 3.9885 Å, c = 14.0752 Å
α = 90.00°, β = 90.00°, γ = 90.00°
Fractional coordinates of all 10 atoms:
N 0.0000 0.0000 0.5000
N 0.5000 0.5000 0.5000
Sn 0.0000 0.5000 0.8917
Sn 0.5000 0.0000 0.1083
Pa 0.0000 0.5000 0.4169
Pa 0.5000 0.0000 0.5831
Se 0.5000 0.0000 0.3164
Se 0.0000 0.5000 0.6836
Se 0.5000 0.0000 0.8908
Se 0.0000 0.5000 0.1092

ΔE_f (raw), meV/atom: -1162

7.
Material: In5Sb2Pb12
Method: DFT, GGA-PBE
State: relaxed

a = 4.9404 Å, b = 13.3560 Å, c = 13.3560 Å
α = 42.90°, β = 80.03°, γ = 80.03°
Fractional coordinates of all 19 atoms:
Pb 0.0988 0.9006 0.9006
Pb 0.4039 0.8348 0.3556
Pb 0.2007 0.0540 0.5452
Pb 0.9059 0.5926 0.5926
Pb 0.5961 0.1652 0.6444
Pb 0.0941 0.4074 0.4074
Pb 0.4039 0.3556 0.8348
Pb 0.9012 0.0994 0.0994
Pb 0.7993 0.9460 0.4548
Pb 0.7993 0.4548 0.9460
Pb 0.2007 0.5452 0.0540
Pb 0.5961 0.6444 0.1652
In 0.3033 0.1976 0.1976
In 0.2997 0.6999 0.6999
In 0.6967 0.8024 0.8024
In 0.5000 0.0000 0.0000
In 0.7003 0.3001 0.3001
Sb 0.0000 0.7492 0.2508
Sb 0.0000 0.2508 0.7492

ΔE_f (raw), meV/atom: 41

8.
Material: Ti2CrPtN
Method: DFT, GGA-PBE
State: relaxed

a = 4.1072 Å, b = 4.1072 Å, c = 3.8614 Å
α = 90.00°, β = 90.00°, γ = 90.00°
Site moments in Bohr magnetons follow the coordinates.
Fractional coordinates of all 5 atoms:
Ti 0.0000 0.5000 0.0000  -0.03
Ti 0.5000 0.0000 0.0000  -0.03
Cr 0.0000 0.0000 0.5000  1.62
Pt 0.5000 0.5000 0.5000  0.02
N 0.0000 0.0000 0.0000  -0.02

ΔE_f (raw), meV/atom: -985